1.
This record from Alexandria describes a geometry-optimized Sr2Al4Zn3Pd structure. The functional is PBE.

Uncorrected energy, eV per atom: -3.09
Symmetry: No. 115
Formation enthalpy at 0 K, eV per atom: -0.358

Cell lengths 4.375, 4.375, 10.913 Å; angles 90.00, 90.00, 90.00 degrees
Sites, in units of the cell vectors:
Sr 0.500 0.000 0.254
Sr 0.000 0.500 0.746
Al 0.500 0.500 0.000
Al 0.000 0.000 0.000
Al 0.500 0.000 0.621
Al 0.000 0.500 0.379
Zn 0.000 0.000 0.500
Zn 0.500 0.000 0.861
Zn 0.000 0.500 0.139
Pd 0.500 0.500 0.500

---

2.
This record from Alexandria describes a geometry-optimized NdReO4 structure. The functional is PBE.

Uncorrected energy, eV per atom: -8.51
Uncorrected formation energy, eV per atom: -2.3371
Energy relative to the lowest polymorph listed for this composition, eV per formula unit: 0.00
Symmetry: No. 14

Cell lengths 5.626, 7.991, 7.705 Å; angles 103.94, 90.00, 90.00 degrees
Last column: magnetic moment on the atom in μB.
Sites, in units of the cell vectors:
Nd 0.750 0.388 0.597  0.00
Nd 0.750 0.388 0.097  0.00
Nd 0.250 0.612 0.903  0.00
Nd 0.250 0.612 0.403  0.00
Re 0.250 0.163 0.791  -0.12
Re 0.250 0.163 0.291  -0.12
Re 0.750 0.837 0.709  -0.12
Re 0.750 0.837 0.209  -0.12
O 0.000 0.000 0.749  -0.02
O 0.500 0.000 0.249  -0.02
O 0.251 0.172 0.543  -0.01
O 0.249 0.172 0.043  -0.01
O 0.491 0.362 0.841  0.00
O 0.008 0.362 0.840  0.00
O 0.009 0.362 0.341  0.00
O 0.492 0.362 0.340  0.00
O 0.508 0.638 0.660  0.00
O 0.991 0.638 0.659  0.00
O 0.992 0.638 0.160  0.00
O 0.509 0.638 0.159  0.00
O 0.751 0.828 0.957  -0.01
O 0.749 0.828 0.457  -0.01
O 0.500 0.000 0.751  -0.02
O 0.000 0.000 0.251  -0.02

---

3.
This record from Alexandria describes a geometry-optimized AcAlZn2Au5 structure. The functional is PBE.

Uncorrected energy, eV per atom: -3.30
Symmetry: No. 71
Formation enthalpy at 0 K, eV per atom: -0.328

Cell lengths 4.844, 6.138, 7.781 Å; angles 113.23, 108.13, 90.00 degrees
Sites, in units of the cell vectors:
Ac 0.000 0.500 0.000
Al 0.500 0.000 0.000
Zn 0.190 0.190 0.379
Zn 0.810 0.810 0.621
Au 0.652 0.891 0.305
Au 0.348 0.109 0.695
Au 0.348 0.587 0.695
Au 0.652 0.413 0.305
Au 0.000 0.000 0.000

---

Magnetic moment for every record listed, in sequence, given in μB per formula unit: 0.00 0.18 0.00.
Fermi-level density of states for every record listed, in sequence, given in states/eV per cell: 7.04 8.40 2.91.